[1]
4
Lattice="-2.703 -2.001 0.274 0.975 -0.893 3.102 -3.260 4.733 2.387" Properties=species:S:1:pos:R:3 comment="ZrCdTc2 (PBE-GGA, relaxed)" e_form_mev_per_atom=204 final_energy_ry_per_atom=-0.540 space_group=P4/mmm pbc="T T T"
Cd -3.309 2.103 3.479
Tc -0.051 0.075 0.038
Tc -1.579 2.292 1.156
Zr -1.679 -0.264 2.285

---

[2]
6
Lattice="3.658 -0.810 0.322 -0.197 6.926 -2.342 2.561 -2.528 8.527" Properties=species:S:1:pos:R:3 comment="CsReP (PBE-GGA, relaxed)" e_form_mev_per_atom=255 final_energy_ry_per_atom=-0.440 space_group=C2/m pbc="T T T"
Cs 4.696 1.665 5.777
Cs 1.327 1.923 0.729
P 2.155 -0.953 6.102
P 3.868 4.541 0.404
Re 3.662 4.556 2.796
Re 2.361 -0.969 3.710

---

[3]
19
Lattice="9.087 -0.117 -0.140 -1.493 8.964 -0.140 -1.493 -1.740 8.795" Properties=species:S:1:pos:R:3 comment="Pm12SnPb6 (PBE-GGA, relaxed)" e_form_mev_per_atom=-260 final_energy_ry_per_atom=-0.341 space_group=R-3 pbc="T T T"
Pm 5.823 4.346 3.695
Pm 1.943 6.189 4.936
Pm 3.413 2.489 6.971
Pm 0.277 2.761 4.819
Pm 4.157 0.918 3.578
Pm 2.687 4.618 1.543
Pm -1.369 7.987 2.760
Pm -2.002 4.366 8.161
Pm 4.619 8.265 0.163
Pm 7.469 -0.880 5.754
Pm 8.102 2.741 0.353
Pm 1.481 -1.158 8.352
Sn 0.000 0.000 0.000
Pb 4.386 7.104 3.091
Pb 5.014 2.503 0.972
Pb -0.257 5.033 2.637
Pb 1.714 0.003 5.424
Pb 1.086 4.604 7.542
Pb 6.357 2.074 5.878

---

[4]
4
Lattice="5.192 0.000 0.000 2.596 4.497 0.000 2.596 1.499 4.240" Properties=species:S:1:pos:R:3 comment="CaPmAgGe (PBE-GGA, relaxed)" e_form_mev_per_atom=-535 final_energy_ry_per_atom=-0.301 space_group=F-43m pbc="T T T"
Ge 2.596 1.499 1.060
Ca 0.000 0.000 0.000
Ag 7.789 4.497 3.180
Pm 5.192 2.998 2.120

---

[5]
5
Lattice="5.120 0.000 0.000 0.000 5.120 0.000 0.000 0.000 5.120" Properties=species:S:1:pos:R:3 comment="In3RhF (PBE-GGA, relaxed)" final_energy_ry_per_atom=-0.304 space_group=Pm-3m raw_formation_energy_ev_per_fu=-3.24 e_above_lowest_polymorph_mev_per_atom=0 pbc="T T T"
F 2.560 2.560 2.560
Rh 0.000 0.000 0.000
In 0.000 2.560 0.000
In 0.000 0.000 2.560
In 2.560 0.000 0.000

---

[6]
4
Lattice="-2.119 -4.619 2.620 2.886 -4.934 -0.126 2.484 -1.981 4.754" Properties=species:S:1:pos:R:3 comment="SrCaCl2 (PBE-GGA, relaxed)" final_energy_ry_per_atom=-0.193 space_group=F-43m raw_formation_energy_ev_per_fu=-3.10 e_above_lowest_polymorph_mev_per_atom=913 pbc="T T T"
Sr 2.438 -8.651 5.436
Ca 1.625 -5.767 3.624
Cl 0.000 0.000 0.000
Cl 0.813 -2.884 1.812